A plane-wave DFT calculation with PBE was carried out for a relaxed NaTl2InI4 crystal.

a b c (Å): 4.8876 8.5245 8.5153
angles (deg): 70.76 90.00 90.00
Closest atoms and distances in Å follow each position.
Fractional coordinates of all 8 atoms:
Na: 0.0000 0.5000 0.5000  6 I 3.34-3.36
Tl: 0.0000 0.0000 0.0000  6 I 3.59-3.61
Tl: 0.5000 0.0000 0.5000  6 I 3.49
In: 0.5000 0.5000 0.0000  6 I 3.46
I: 0.0000 0.7379 0.7428  1 Na 3.34, 2 In 3.46, 3 Tl 3.49-3.61
I: 0.0000 0.2621 0.2572  1 Na 3.34, 2 In 3.46, 3 Tl 3.49-3.61
I: 0.5000 0.7321 0.2655  2 Na 3.36, 1 In 3.46, 3 Tl 3.49-3.59
I: 0.5000 0.2679 0.7345  2 Na 3.36, 1 In 3.46, 3 Tl 3.49-3.59

Properties
Uncorrected formation energy   -0.7519 eV per atom